a) Computed, not measured: a relaxed structure of ErPaPd at the PBE-GGA level of DFT.

Cell lengths 3.395, 6.106, 8.354 Å; angles 115.99, 101.67, 106.32 degrees
Fractional positions:
Er 0.425 0.788 0.060
Er 0.575 0.212 0.940
Pa 0.103 0.774 0.427
Pa 0.897 0.226 0.573
Pd 0.706 0.702 0.710
Pd 0.294 0.298 0.290

Results
Total magnetization ... 0.00 μB/f.u.
Calculated volume ... 138.4 Å³ per cell
Density of states at the Fermi level ... 4.8 states/eV/f.u.

***

b) Computed, not measured: a relaxed structure of ErPaPd at the PBE-GGA level of DFT.

Cell lengths 3.569, 3.569, 6.179 Å; angles 106.79, 106.79, 90.00 degrees
Fractional positions:
Pa 0.023 0.023 0.047
Pd 0.655 0.655 0.309
Er 0.322 0.322 0.644

Results
Total magnetization ... 0.00 μB/f.u.
Calculated volume ... 71.9 Å³ per cell
Density of states at the Fermi level ... 3.9 states/eV/f.u.

***

The least stable of the structures above is b), whereas a) is the most stable.